Record 1
{"formula": "SrReIr3", "functional": "PBE", "state": "optimized geometry", "de_polymorph_mev_per_atom": 0, "n_ef_per_ev_cell": 5.08, "formation_energy_mev_per_atom": 749, "m_tot_mub_per_fu": 0.00, "lattice_angstrom": [[4.829, 0.000, 0.000], [0.000, 4.829, 0.000], [0.000, 0.000, 4.829]], "species": ["Re", "Ir", "Ir", "Ir", "Sr"], "fractional_positions": [[0.000, 0.000, 0.000], [0.500, 0.000, 0.000], [0.000, 0.000, 0.500], [0.000, 0.500, 0.000], [0.500, 0.500, 0.500]]}

***

Record 2
{"formula": "Sr2ReIr", "functional": "PBE", "state": "optimized geometry", "de_polymorph_mev_per_atom": 710, "n_ef_per_ev_cell": 5.13, "formation_energy_mev_per_atom": 1040, "m_tot_mub_per_fu": 0.08, "lattice_angstrom": [[-6.252, 2.905, 7.497], [-8.286, 3.082, 5.057], [-7.809, 0.303, 6.532]], "species": ["Sr", "Sr", "Re", "Ir"], "fractional_positions": [[0.996, 0.996, 0.996], [0.504, 0.504, 0.504], [0.750, 0.750, 0.750], [0.250, 0.250, 0.250]]}

***

Record 3
{"formula": "SrReIr2", "functional": "PBE", "state": "optimized geometry", "de_polymorph_mev_per_atom": 308, "n_ef_per_ev_cell": 3.44, "formation_energy_mev_per_atom": 365, "m_tot_mub_per_fu": 0.00, "lattice_angstrom": [[-4.984, -0.272, 0.198], [-3.983, -1.707, 2.487], [-1.169, 4.523, 3.347]], "species": ["Re", "Sr", "Ir", "Ir"], "fractional_positions": [[0.524, 0.524, 0.394], [0.746, 0.746, 0.769], [0.251, 0.251, 0.286], [0.979, 0.979, 0.050]]}

***

Record 4
{"formula": "SrReIr2", "functional": "PBE", "state": "optimized geometry", "de_polymorph_mev_per_atom": 732, "n_ef_per_ev_cell": 5.79, "formation_energy_mev_per_atom": 790, "m_tot_mub_per_fu": 1.22, "lattice_angstrom": [[-2.069, -4.177, -0.244], [-4.623, -0.350, 0.539], [-2.702, -1.056, -3.656]], "species": ["Ir", "Ir", "Re", "Sr"], "fractional_positions": [[0.250, 0.250, 0.250], [0.750, 0.750, 0.750], [0.500, 0.500, 0.500], [0.000, 0.000, 0.000]]}

***

Record 5
{"formula": "Sr2ReIr", "functional": "PBE", "state": "optimized geometry", "de_polymorph_mev_per_atom": 622, "n_ef_per_ev_cell": 2.99, "formation_energy_mev_per_atom": 951, "m_tot_mub_per_fu": 2.05, "lattice_angstrom": [[-3.631, -2.308, 0.932], [1.791, -3.568, -1.857], [1.845, -1.230, 4.142]], "species": ["Sr", "Sr", "Re", "Ir"], "fractional_positions": [[0.500, 0.500, 0.000], [0.000, 0.000, 0.000], [0.000, 0.500, 0.500], [0.500, 0.000, 0.500]]}

***

Record 6
{"formula": "Sr2ReIr", "functional": "PBE", "state": "optimized geometry", "de_polymorph_mev_per_atom": 733, "n_ef_per_ev_cell": 4.96, "formation_energy_mev_per_atom": 1063, "m_tot_mub_per_fu": 0.46, "lattice_angstrom": [[-0.236, 1.479, 4.953], [-3.065, 1.273, 3.970], [-0.375, -5.510, 2.231]], "species": ["Ir", "Sr", "Sr", "Re"], "fractional_positions": [[0.750, 0.750, 0.750], [0.003, 0.003, 0.993], [0.497, 0.497, 0.507], [0.250, 0.250, 0.250]]}

***

Record 7
{"formula": "SrReIr2", "functional": "PBE", "state": "optimized geometry", "de_polymorph_mev_per_atom": 740, "n_ef_per_ev_cell": 4.75, "formation_energy_mev_per_atom": 797, "m_tot_mub_per_fu": 1.75, "lattice_angstrom": [[-2.219, -1.763, -2.521], [-1.201, -2.869, 3.063], [-3.331, 2.591, 1.120]], "species": ["Sr", "Ir", "Ir", "Re"], "fractional_positions": [[0.500, 0.000, 0.500], [0.000, 0.000, 0.000], [0.000, 0.500, 0.500], [0.500, 0.500, 0.000]]}

***

Record 8
{"formula": "SrReIr2", "functional": "PBE", "state": "optimized geometry", "de_polymorph_mev_per_atom": 823, "n_ef_per_ev_cell": 5.07, "formation_energy_mev_per_atom": 881, "m_tot_mub_per_fu": 0.00, "lattice_angstrom": [[2.857, 0.000, 0.000], [0.000, 5.139, 0.000], [0.000, 0.000, 4.843]], "species": ["Re", "Ir", "Ir", "Sr"], "fractional_positions": [[0.500, 0.000, 0.500], [0.500, 0.500, 0.000], [0.000, 0.000, 0.000], [0.000, 0.500, 0.500]]}

***

Record 9
{"formula": "SrReIr2", "functional": "PBE", "state": "optimized geometry", "de_polymorph_mev_per_atom": 778, "n_ef_per_ev_cell": 4.70, "formation_energy_mev_per_atom": 836, "m_tot_mub_per_fu": 0.00, "lattice_angstrom": [[-4.557, -2.322, -0.700], [-0.654, -1.575, -4.873], [3.798, -0.590, 3.447]], "species": ["Sr", "Ir", "Ir", "Re"], "fractional_positions": [[0.750, 0.250, 0.500], [0.250, 0.750, 0.500], [0.000, 0.000, 0.000], [0.500, 0.500, 0.000]]}

***

Record 10
{"formula": "Sr2ReIr", "functional": "PBE", "state": "optimized geometry", "de_polymorph_mev_per_atom": 603, "n_ef_per_ev_cell": 4.08, "formation_energy_mev_per_atom": 933, "m_tot_mub_per_fu": 0.01, "lattice_angstrom": [[-0.645, -4.509, 1.598], [1.030, -1.129, -2.769], [6.442, -1.181, -0.731]], "species": ["Sr", "Sr", "Ir", "Re"], "fractional_positions": [[0.000, 0.502, 0.497], [0.000, 0.998, 0.003], [0.500, 0.250, 0.250], [0.500, 0.750, 0.750]]}

***

Record 11
{"formula": "Sr2ReIr2", "functional": "PBE", "state": "optimized geometry", "n_ef_per_ev_cell": 7.87, "formation_energy_mev_per_atom": 75, "m_tot_mub_per_fu": 0.00, "lattice_angstrom": [[6.632, 0.000, 0.000], [0.000, 6.632, 0.000], [0.000, 0.000, 5.098]], "species": ["Sr", "Sr", "Sr", "Sr", "Re", "Re", "Ir", "Ir", "Ir", "Ir"], "fractional_positions": [[0.180, 0.680, 0.500], [0.820, 0.320, 0.500], [0.320, 0.180, 0.500], [0.680, 0.820, 0.500], [0.000, 0.000, 0.000], [0.500, 0.500, 0.000], [0.638, 0.138, 0.000], [0.362, 0.862, 0.000], [0.138, 0.362, 0.000], [0.862, 0.638, 0.000]]}

***

Record 12
{"formula": "SrReIr2", "functional": "PBE", "state": "optimized geometry", "de_polymorph_mev_per_atom": 346, "n_ef_per_ev_cell": 4.57, "formation_energy_mev_per_atom": 404, "m_tot_mub_per_fu": 0.00, "lattice_angstrom": [[4.500, 0.000, 0.000], [0.000, 2.896, 0.002], [0.000, 1.039, 5.916]], "species": ["Sr", "Re", "Ir", "Ir"], "fractional_positions": [[0.500, 0.719, 0.787], [0.000, 0.503, 0.386], [0.000, 0.135, 0.025], [0.500, 0.143, 0.303]]}